1.
GeAs: relaxed, GGA-PBE.

a = 7.147 Å, b = 7.147 Å, c = 7.147 Å
α = 109.47°, β = 109.47°, γ = 109.47°
Atoms (fractional coordinates):
1 Ge 0.000 0.000 0.700
2 Ge 0.000 0.700 0.000
3 Ge 0.300 0.300 0.300
4 Ge 0.700 0.000 0.000
5 As 0.000 0.000 0.323
6 As 0.000 0.323 0.000
7 As 0.323 0.000 0.000
8 As 0.677 0.677 0.677

Properties
Formation enthalpy at 0 K: 0.649 eV per formula unit



2.
NaGa3Co2: relaxed, GGA-PBE.

a = 6.240 Å, b = 6.240 Å, c = 5.302 Å
α = 90.00°, β = 90.00°, γ = 76.77°
Atoms (fractional coordinates):
1 Na 0.114 0.886 0.750
2 Na 0.886 0.114 0.250
3 Ga 0.020 0.549 0.250
4 Ga 0.451 0.980 0.250
5 Ga 0.484 0.516 0.250
6 Ga 0.516 0.484 0.750
7 Ga 0.549 0.020 0.750
8 Ga 0.980 0.451 0.750
9 Co 0.296 0.296 0.000
10 Co 0.296 0.296 0.500
11 Co 0.704 0.704 0.000
12 Co 0.704 0.704 0.500

Properties
Formation enthalpy at 0 K: -1.247 eV per formula unit



3.
Ca2GaPdAu: relaxed, GGA-PBE.

a = 5.509 Å, b = 5.509 Å, c = 5.064 Å
α = 90.00°, β = 90.00°, γ = 90.00°
Atoms (fractional coordinates):
1 Ca 0.000 0.500 0.000
2 Ca 0.500 0.000 0.000
3 Ga 0.000 0.000 0.500
4 Pd 0.500 0.500 0.500
5 Au 0.500 0.500 0.000

Properties
Formation enthalpy at 0 K: -0.299 eV per formula unit



Number 1: DOS(E_F) 1.6 states/eV/f.u.. Number 2: DOS(E_F) 3.4 states/eV/f.u.. Number 3: DOS(E_F) 2.8 states/eV/f.u..